Here is a relaxed MgTc2HPb crystal from Alexandria. Energies are from PBE-GGA.

a = 4.8783 Å, b = 4.8783 Å, c = 5.3093 Å
α = 90.00°, β = 90.00°, γ = 90.00°
Each line ends with the local moment (μB).
Positions (direct):
Tc1 0.5000 0.0000 0.0000  2.44
Tc2 0.0000 0.5000 0.0000  2.44
Pb1 0.0000 0.0000 0.5000  -0.11
H1 0.5000 0.5000 0.5000  -0.08
Mg1 0.0000 0.0000 0.0000  -0.02

As for the symmetry: No. 123. For the density of states at the Fermi level, the calculation gives 0.7658 states/eV/atom. As for the total DFT energy (no corrections): -3.663 eV/atom.